{"formula": "BaCo2SeO2", "functional": "GGA+U", "state": "optimized geometry", "lattice": [[6.3773, 0.0000, 0.0000], [0.0000, 5.1286, 0.0000], [-2.3447, 0.0000, 7.4075]], "species": ["Ba", "Ba", "Co", "Co", "Co", "Co", "Se", "Se", "O", "O", "O", "O"], "frac_coords": [[0.1740, 0.2500, 0.3497], [0.8260, 0.7500, 0.6503], [0.3653, 0.0017, 0.7958], [0.3653, 0.4983, 0.7958], [0.6347, 0.5017, 0.2042], [0.6347, 0.9983, 0.2042], [0.2787, 0.7500, 0.0508], [0.7213, 0.2500, 0.9492], [0.1430, 0.2500, 0.6767], [0.4111, 0.7500, 0.6285], [0.5889, 0.2500, 0.3715], [0.8570, 0.7500, 0.3233]], "e_tot_ev_per_cell": -65.783, "n_ef_per_ev_cell": 0.1}